First-principles (PBE-GGA) data for an optimized crystal structure of CdIn5Pb8, as listed in the Alexandria database.

Summary:
The final energy is -3.092 eV/atom. The value obtained for the total magnetization is 0.0 μB per formula unit. The value obtained for the formation energy is 0.07 eV per atom.

Lattice parameters (Å, degrees): 8.247 8.247 8.247 109.93 109.93 108.56
Sites, in units of the cell vectors:
Cd 0.000 0.000 0.000
In 0.307 0.230 0.703
In 0.396 0.693 0.923
In 0.527 0.604 0.297
In 0.750 0.250 0.500
In 0.770 0.473 0.077
Pb 0.024 0.756 0.596
Pb 0.054 0.355 0.930
Pb 0.160 0.428 0.404
Pb 0.244 0.840 0.268
Pb 0.425 0.124 0.070
Pb 0.572 0.976 0.732
Pb 0.645 0.575 0.700
Pb 0.876 0.946 0.300